VASP calculation (PBE) on a relaxed structure of Pm2NpTl3Te6.

Lattice parameters (Å, degrees): 7.8559 7.8559 8.5621 98.80 98.80 120.00
Last column: magnetic moment on the atom in μB.
Positions (direct):
Pm (0.3334, 0.6666, 0.0000)  0.03
Pm (0.6666, 0.3334, 0.0000)  0.03
Te (0.4038, 0.0725, 0.2176)  -0.03
Te (0.5962, 0.9275, 0.7824)  -0.03
Te (0.9275, 0.5962, 0.7824)  -0.03
Te (0.7416, 0.7416, 0.2183)  -0.03
Te (0.0725, 0.4038, 0.2176)  -0.03
Te (0.2584, 0.2584, 0.7817)  -0.03
Tl (0.5000, 0.5000, 0.5000)  0.00
Tl (0.1671, 0.8329, 0.5000)  0.00
Tl (0.8329, 0.1671, 0.5000)  0.00
Np (0.0000, 0.0000, 0.0000)  3.94

Values from the calculation:
SG	No. 12
calculated volume	435.7	Å³ per cell
uncorrected formation energy	-0.90	eV/atom
VASP energy	-4.93	eV/atom